1.
A plane-wave DFT calculation with PBE was carried out for an optimized crystal structure of NaHoTeO.

**Uncorrected energy**: -88.85 eV/cell
**Energy above the lowest structure with this stoichiometry**: 0 meV per atom
**Total moment**: 0.0001 μB/atom

POSCAR file:
```
NaHoTeO
1.0
7.3512 0.0000 0.0000
0.0000 7.5114 0.0000
-1.0714 0.0000 6.5158
Na Ho Te O
4 4 4 4
direct
0.1094 0.2053 0.4716
0.1094 0.2947 0.9716
0.8906 0.7053 0.0284
0.8906 0.7947 0.5284
0.4704 0.6247 0.7837
0.4704 0.8753 0.2837
0.5296 0.1247 0.7163
0.5296 0.3753 0.2163
0.2011 0.5781 0.3537
0.2011 0.9219 0.8537
0.7989 0.0781 0.1463
0.7989 0.4219 0.6463
0.4124 0.1502 0.3924
0.4124 0.3498 0.8924
0.5876 0.6502 0.1076
0.5876 0.8498 0.6076
```

=====

2.
A plane-wave DFT calculation with PBE was carried out for an optimized crystal structure of NaHoTeO.

**Uncorrected energy**: -43.22 eV/cell
**Energy above the lowest structure with this stoichiometry**: 151 meV per atom
**Total moment**: 0.0002 μB/atom

POSCAR file:
```
NaHoTeO
1.0
4.5243 0.0000 0.0000
0.0000 7.7842 0.0000
0.0000 0.0000 6.4924
Na Ho Te O
2 2 2 2
direct
0.0000 0.2252 0.0000
0.0000 0.7748 0.5000
0.5000 0.3866 0.3822
0.5000 0.6134 0.8822
0.0000 0.1795 0.5268
0.0000 0.8205 0.0268
0.5000 0.3891 0.0593
0.5000 0.6109 0.5593
```

=====

3.
A plane-wave DFT calculation with PBE was carried out for an optimized crystal structure of Na2YHoO4.

**Uncorrected energy**: -111.76 eV/cell
**Total moment**: 0.0000 μB/atom

POSCAR file:
```
Na2YHoO4
1.0
4.5872 0.0000 0.0000
0.0000 4.5872 0.0000
0.0000 0.0000 10.2450
Na Y Ho O
4 2 2 8
direct
0.0000 0.0000 0.0000
0.0000 0.5000 0.2500
0.5000 0.0000 0.7500
0.5000 0.5000 0.5000
0.0000 0.5000 0.7500
0.5000 0.0000 0.2500
0.0000 0.0000 0.5000
0.5000 0.5000 0.0000
0.0000 0.0000 0.2789
0.0000 0.0000 0.7211
0.0000 0.5000 0.5258
0.0000 0.5000 0.9742
0.5000 0.0000 0.0258
0.5000 0.0000 0.4742
0.5000 0.5000 0.2211
0.5000 0.5000 0.7789
```

=====

4.
A plane-wave DFT calculation with PBE was carried out for an optimized crystal structure of NaHoZnO3.

**Uncorrected energy**: -69.88 eV/cell
**Total moment**: 0.0003 μB/atom

POSCAR file:
```
NaHoZnO3
1.0
1.7256 -5.3219 0.0000
1.7256 5.3219 0.0000
0.0000 0.0000 9.0960
Na Ho Zn O
2 2 2 6
direct
0.2167 0.7833 0.7500
0.7833 0.2167 0.2500
0.5000 0.5000 0.0000
0.5000 0.5000 0.5000
0.0592 0.9408 0.2500
0.9408 0.0592 0.7500
0.1280 0.8720 0.0589
0.1280 0.8720 0.4411
0.4455 0.5545 0.2500
0.5545 0.4455 0.7500
0.8720 0.1280 0.5589
0.8720 0.1280 0.9411
```

=====

5.
A plane-wave DFT calculation with PBE was carried out for an optimized crystal structure of Na3HoP2.

**Uncorrected energy**: -46.22 eV/cell
**Total moment**: 0.0001 μB/atom

POSCAR file:
```
Na3HoP2
1.0
-3.4281 7.0088 3.3956
3.4281 -7.0088 3.3956
3.4281 7.0088 -3.3956
Na Ho P
6 2 4
direct
0.2009 0.6851 0.8860
0.2500 0.2500 0.0000
0.2991 0.1851 0.4842
0.7009 0.8149 0.5158
0.7500 0.7500 0.0000
0.7991 0.3149 0.1140
0.2500 0.7500 0.5000
0.7500 0.2500 0.5000
0.1070 0.2850 0.3919
0.3930 0.7850 0.1780
0.6070 0.2150 0.8220
0.8930 0.7150 0.6081
```

=====

6.
A plane-wave DFT calculation with PBE was carried out for an optimized crystal structure of NaHoPb.

**Uncorrected energy**: -40.42 eV/cell
**Total moment**: 0.0005 μB/atom

POSCAR file:
```
NaHoPb
1.0
7.2888 0.0000 0.0000
0.0000 7.2888 0.0000
0.0000 0.0000 7.2888
Na Ho Pb
4 4 4
direct
0.0000 0.0000 0.0000
0.0000 0.5000 0.5000
0.5000 0.0000 0.5000
0.5000 0.5000 0.0000
0.0000 0.0000 0.5000
0.0000 0.5000 0.0000
0.5000 0.0000 0.0000
0.5000 0.5000 0.5000
0.2500 0.2500 0.7500
0.2500 0.7500 0.2500
0.7500 0.2500 0.2500
0.7500 0.7500 0.7500
```

=====

7.
A plane-wave DFT calculation with PBE was carried out for an optimized crystal structure of Na3PrHo2Pb3.

**Uncorrected energy**: -31.02 eV/cell
**Total moment**: 0.0005 μB/atom

POSCAR file:
```
Na3PrHo2Pb3
1.0
5.2190 0.0000 0.0000
-2.6095 4.5198 0.0000
0.0000 0.0000 10.6395
Na Pr Ho Pb
3 1 2 3
direct
0.0000 0.0000 0.0000
0.3333 0.6667 0.3113
0.3333 0.6667 0.6887
0.6667 0.3333 0.5000
0.6667 0.3333 0.1633
0.6667 0.3333 0.8367
0.0000 0.0000 0.3330
0.0000 0.0000 0.6670
0.3333 0.6667 0.0000
```

=====

8.
A plane-wave DFT calculation with PBE was carried out for an optimized crystal structure of NaHoPbS3.

**Uncorrected energy**: -59.20 eV/cell
**Total moment**: 0.0010 μB/atom

POSCAR file:
```
NaHoPbS3
1.0
8.6459 -2.0010 0.0000
8.6459 2.0010 0.0000
-3.2124 0.0000 9.2367
Na Ho Pb S
2 2 2 6
direct
0.1333 0.1333 0.1282
0.8667 0.8667 0.8718
0.1765 0.1765 0.5843
0.8235 0.8235 0.4157
0.4795 0.4795 0.2687
0.5205 0.5205 0.7313
0.0000 0.0000 0.5000
0.3115 0.3115 0.2247
0.3364 0.3364 0.6205
0.5000 0.5000 0.0000
0.6636 0.6636 0.3795
0.6885 0.6885 0.7753
```

=====

9.
A plane-wave DFT calculation with PBE was carried out for an optimized crystal structure of NaHoTe3Pb.

**Uncorrected energy**: -48.68 eV/cell
**Total moment**: 0.0002 μB/atom

POSCAR file:
```
NaHoTe3Pb
1.0
9.6235 -2.2123 0.0000
9.6235 2.2123 0.0000
-3.0115 0.0000 10.1182
Na Ho Te Pb
2 2 6 2
direct
0.1332 0.1332 0.0973
0.8668 0.8668 0.9027
0.1768 0.1768 0.5868
0.8232 0.8232 0.4132
0.0000 0.0000 0.5000
0.3139 0.3139 0.2052
0.3374 0.3374 0.6269
0.5000 0.5000 0.0000
0.6626 0.6626 0.3731
0.6861 0.6861 0.7948
0.4813 0.4813 0.2763
0.5187 0.5187 0.7237
```

=====

10.
A plane-wave DFT calculation with PBE was carried out for an optimized crystal structure of NaHoPdSe3.

**Uncorrected energy**: -56.16 eV/cell
**Total moment**: 0.0003 μB/atom

POSCAR file:
```
NaHoPdSe3
1.0
2.0046 -7.2771 0.0000
2.0046 7.2771 0.0000
0.0000 0.0000 10.0740
Na Ho Pd Se
2 2 2 6
direct
0.2339 0.7661 0.7500
0.7661 0.2339 0.2500
0.0000 0.0000 0.0000
0.0000 0.0000 0.5000
0.4920 0.5080 0.2500
0.5080 0.4920 0.7500
0.1013 0.8987 0.2500
0.3694 0.6306 0.0762
0.3694 0.6306 0.4238
0.6306 0.3694 0.5762
0.6306 0.3694 0.9238
0.8987 0.1013 0.7500
```

=====

11.
A plane-wave DFT calculation with PBE was carried out for an optimized crystal structure of NaHoTe3Pd.

**Uncorrected energy**: -51.78 eV/cell
**Total moment**: 0.0011 μB/atom

POSCAR file:
```
NaHoTe3Pd
1.0
2.1317 -8.0498 0.0000
2.1317 8.0498 0.0000
0.0000 0.0000 10.1267
Na Ho Te Pd
2 2 6 2
direct
0.2424 0.7576 0.7500
0.7576 0.2424 0.2500
0.0000 0.0000 0.0000
0.0000 0.0000 0.5000
0.1080 0.8920 0.2500
0.3722 0.6278 0.0860
0.3722 0.6278 0.4140
0.6278 0.3722 0.5860
0.6278 0.3722 0.9140
0.8920 0.1080 0.7500
0.4984 0.5016 0.7500
0.5016 0.4984 0.2500
```

=====

12.
A plane-wave DFT calculation with PBE was carried out for an optimized crystal structure of NaHoTe3Pd.

**Uncorrected energy**: -103.59 eV/cell
**Total moment**: 0.0002 μB/atom

POSCAR file:
```
NaHoTe3Pd
1.0
10.0299 0.0000 0.0000
0.0000 4.2965 0.0000
0.0000 0.0000 16.3304
Na Ho Te Pd
4 4 12 4
direct
0.2322 0.2500 0.0090
0.2678 0.7500 0.5090
0.7322 0.2500 0.4910
0.7678 0.7500 0.9910
0.0142 0.7500 0.7481
0.4858 0.2500 0.2481
0.5142 0.7500 0.7519
0.9858 0.2500 0.2519
0.0726 0.7500 0.1263
0.1009 0.2500 0.6231
0.2364 0.2500 0.3587
0.2636 0.7500 0.8587
0.3991 0.7500 0.1231
0.4274 0.2500 0.6263
0.5726 0.7500 0.3737
0.6009 0.2500 0.8769
0.7364 0.2500 0.1413
0.7636 0.7500 0.6413
0.8991 0.7500 0.3769
0.9274 0.2500 0.8737
0.2392 0.7500 0.2538
0.2608 0.2500 0.7538
0.7392 0.7500 0.2462
0.7608 0.2500 0.7462
```